Crystalline NaCr4Hg2 at its relaxed geometry, computed with PBE.

SG: I4/mmm, No. 139
Formation energy, kJ/mol of atoms: 136.8

Lattice parameters (Å, degrees): 4.8855 4.8855 7.9336 72.07 72.07 90.00
Last column: nearest neighbours and their distance in Å.
Positions (direct):
Cr: 0.1963 0.1963 0.6075  1 Hg 2.72, 1 Na 2.80
Cr: 0.8037 0.8037 0.3925  1 Hg 2.72, 1 Na 2.80
Cr: 0.5000 0.0000 0.0000  2 Na 2.44
Cr: 0.0000 0.5000 0.0000  2 Na 2.44
Hg: 0.6130 0.6130 0.7740  5 Cr 2.72-2.93
Hg: 0.3870 0.3870 0.2260  5 Cr 2.72-2.93
Na: 0.0000 0.0000 0.0000  4 Cr 2.44